# 1
# NaEuTlPd

An optimized crystal structure of NaEuTlPd (PBE-GGA, Alexandria).

As for the energy relative to the elements: -0.23 eV per atom. For the calculated total energy, the calculation gives -5.021 eV/atom. The calculation puts the total magnetization at 7.30 μB per formula unit.

Cell lengths 5.2392, 5.2392, 5.2392 Å; angles 60.00, 60.00, 60.00 degrees
Each line ends with the local moment (μB).
Atoms (fractional coordinates):
Eu1 0.0000 0.0000 0.0000  6.85
Na1 0.5000 0.5000 0.5000  0.00
Pd1 0.7500 0.7500 0.7500  -0.01
Tl1 0.2500 0.2500 0.2500  0.06

=====

# 2
# NaPmEu2

An optimized crystal structure of NaPmEu2 (PBE-GGA, Alexandria).

As for the energy relative to the elements: 0.15 eV per atom. For the calculated total energy, the calculation gives -6.509 eV/atom. The calculation puts the distance to the lowest polymorph of the same formula at 63.1 meV per atom. The calculation puts the total magnetization at 14.94 μB per formula unit.

Cell lengths 3.9458, 6.2353, 6.2353 Å; angles 90.00, 90.00, 90.00 degrees
Each line ends with the local moment (μB).
Atoms (fractional coordinates):
Eu1 0.0000 0.5000 0.0000  -6.95
Pm1 0.5000 0.5000 0.5000  -0.17
Na1 0.5000 0.0000 0.0000  0.00
Eu2 0.0000 0.0000 0.5000  -6.95